{
  "formula": "ZnRe2Os",
  "functional": "PBE",
  "state": "relaxed",
  "lattice": [[3.0189, 0.0000, 0.0000], [0.0000, 4.3242, 0.0000], [0.0000, 0.0000, 4.4931]],
  "species": ["Re", "Re", "Os", "Zn"],
  "fractional_positions": [[0.0000, 0.0000, 0.0000], [0.5000, 0.5000, 0.0000], [0.0000, 0.5000, 0.5000], [0.5000, 0.0000, 0.5000]],
  "m_tot_mub_per_atom": 0.00,
  "dos_at_fermi_per_ev_fu": 3.1,
  "e_tot_ev_per_atom": -8.963
}


{
  "formula": "Zn2ReOs",
  "functional": "PBE",
  "state": "relaxed",
  "lattice": [[-1.3222, 2.5196, -0.9983], [-1.1737, -1.5335, -2.3160], [-4.9964, -1.2823, 3.3812]],
  "species": ["Zn", "Zn", "Os", "Re"],
  "fractional_positions": [[0.0000, 0.0000, 0.0061], [0.0000, 0.0000, 0.4939], [0.5000, 0.5000, 0.2500], [0.5000, 0.5000, 0.7500]],
  "m_tot_mub_per_atom": 0.00,
  "dos_at_fermi_per_ev_fu": 3.9,
  "e_above_lowest_polymorph_mev_per_atom": 488
}


{
  "formula": "Zn2ReOs",
  "functional": "PBE",
  "state": "relaxed",
  "lattice": [[-2.5998, 0.3935, -1.1582], [-1.6324, -3.4048, 2.5076], [-1.0146, 2.8858, 3.2577]],
  "species": ["Zn", "Zn", "Re", "Os"],
  "fractional_positions": [[0.0000, 0.0000, 0.0000], [0.5000, 0.5000, 0.0000], [0.0000, 0.5000, 0.5000], [0.5000, 0.0000, 0.5000]],
  "m_tot_mub_per_atom": 0.00,
  "dos_at_fermi_per_ev_fu": 3.1,
  "e_above_lowest_polymorph_mev_per_atom": 267
}


{
  "formula": "Zn2ReOs",
  "functional": "PBE",
  "state": "relaxed",
  "lattice": [[-3.2438, 0.8487, -1.5828], [-1.3295, -1.7566, 1.7827], [-2.0089, 2.3943, 5.4010]],
  "species": ["Zn", "Zn", "Os", "Re"],
  "fractional_positions": [[0.5000, 0.2653, 0.2357], [0.0000, 0.9841, 0.0152], [0.0000, 0.4809, 0.5197], [0.5000, 0.7697, 0.7294]],
  "m_tot_mub_per_atom": 0.00,
  "dos_at_fermi_per_ev_fu": 1.8,
  "e_above_lowest_polymorph_mev_per_atom": 105
}


{
  "formula": "ZnRe2Os",
  "functional": "PBE",
  "state": "relaxed",
  "lattice": [[-6.2776, -6.1919, -2.0893], [-4.0943, -7.8685, -1.8536], [-5.5405, -7.1598, 0.3912]],
  "species": ["Re", "Re", "Os", "Zn"],
  "fractional_positions": [[0.2514, 0.2514, 0.2514], [0.0003, 0.0003, 0.0003], [0.7489, 0.7489, 0.7489], [0.4994, 0.4994, 0.4994]],
  "m_tot_mub_per_atom": 0.00,
  "dos_at_fermi_per_ev_fu": 4.6,
  "e_tot_ev_per_atom": -9.231
}


{
  "formula": "ZnRe2Os",
  "functional": "PBE",
  "state": "relaxed",
  "lattice": [[-3.0523, 2.5839, -2.2697], [-0.1993, -3.1624, -3.3323], [-2.0834, -1.2824, 1.3417]],
  "species": ["Re", "Re", "Os", "Zn"],
  "fractional_positions": [[0.5000, 0.5000, 0.0000], [0.0000, 0.0000, 0.0000], [0.0000, 0.5000, 0.5000], [0.5000, 0.0000, 0.5000]],
  "m_tot_mub_per_atom": 0.00,
  "dos_at_fermi_per_ev_fu": 4.6,
  "e_tot_ev_per_atom": -8.875
}


{
  "formula": "Zn2ReOs",
  "functional": "PBE",
  "state": "relaxed",
  "lattice": [[2.6956, -0.0699, 0.0000], [-1.1236, 2.4512, 0.0000], [0.0000, 0.0000, 8.9234]],
  "species": ["Zn", "Zn", "Re", "Os"],
  "fractional_positions": [[0.0000, 0.0000, 0.4977], [0.0000, 0.0000, 0.0023], [0.5000, 0.5000, 0.7500], [0.5000, 0.5000, 0.2500]],
  "m_tot_mub_per_atom": 0.00,
  "dos_at_fermi_per_ev_fu": 2.9,
  "e_above_lowest_polymorph_mev_per_atom": 274
}


{
  "formula": "ZnRe4Os",
  "functional": "PBE",
  "state": "relaxed",
  "lattice": [[-0.8447, -4.7241, -1.8293], [-3.0219, -0.6640, -4.0993], [2.0431, -1.4170, -4.4939]],
  "species": ["Os", "Re", "Re", "Re", "Re", "Zn"],
  "fractional_positions": [[0.0000, 0.0000, 0.0000], [0.3761, 0.8717, 0.3761], [0.3761, 0.3761, 0.8717], [0.8717, 0.3761, 0.3761], [0.3761, 0.3761, 0.3761], [0.7500, 0.7500, 0.7500]],
  "m_tot_mub_per_atom": 0.00,
  "dos_at_fermi_per_ev_fu": 2.6,
  "e_tot_ev_per_atom": -9.773
}


{
  "formula": "Zn2ReOs",
  "functional": "PBE",
  "state": "relaxed",
  "lattice": [[2.7243, 0.0110, 0.0000], [-1.2364, 2.4276, 0.0000], [0.0000, 0.0000, 8.9755]],
  "species": ["Zn", "Zn", "Re", "Os"],
  "fractional_positions": [[0.0000, 0.0000, 0.0015], [0.5000, 0.5000, 0.2507], [0.5000, 0.5000, 0.7446], [0.0000, 0.0000, 0.5032]],
  "m_tot_mub_per_atom": 0.00,
  "dos_at_fermi_per_ev_fu": 2.1,
  "e_above_lowest_polymorph_mev_per_atom": 226
}


{
  "formula": "ZnRe2Os",
  "functional": "PBE",
  "state": "relaxed",
  "lattice": [[9.0836, -0.0073, -0.0043], [8.6667, 2.7206, -0.0043], [8.6667, 1.3248, 2.3763]],
  "species": ["Zn", "Re", "Re", "Os"],
  "fractional_positions": [[0.2500, 0.2500, 0.2500], [0.0018, 0.0018, 0.0018], [0.4982, 0.4982, 0.4982], [0.7500, 0.7500, 0.7500]],
  "m_tot_mub_per_atom": 0.00,
  "dos_at_fermi_per_ev_fu": 4.5,
  "e_tot_ev_per_atom": -9.211
}


{
  "formula": "Zn2ReOs",
  "functional": "PBE",
  "state": "relaxed",
  "lattice": [[-0.1361, 3.5741, -3.6239], [-0.8598, -1.5637, -4.7688], [-1.7789, 0.2400, 4.7648]],
  "species": ["Zn", "Zn", "Re", "Os"],
  "fractional_positions": [[0.9951, 0.9951, 0.0000], [0.7529, 0.2529, 0.5000], [0.2518, 0.7518, 0.5000], [0.5002, 0.5002, 0.0000]],
  "m_tot_mub_per_atom": 0.00,
  "dos_at_fermi_per_ev_fu": 2.4,
  "e_above_lowest_polymorph_mev_per_atom": 269
}


{
  "formula": "Zn2ReOs",
  "functional": "PBE",
  "state": "relaxed",
  "lattice": [[4.9483, 0.0113, 0.0000], [2.1227, 4.4699, 0.0000], [-3.5355, -2.2406, 2.6393]],
  "species": ["Zn", "Zn", "Re", "Os"],
  "fractional_positions": [[0.5000, 0.5000, 0.0000], [0.0000, 0.0000, 0.0000], [0.7500, 0.2500, 0.5000], [0.2500, 0.7500, 0.5000]],
  "m_tot_mub_per_atom": 0.00,
  "dos_at_fermi_per_ev_fu": 4.3,
  "e_above_lowest_polymorph_mev_per_atom": 408
}